Entry 1:
Compound: LiTh2Mn2N6
Source: Alexandria
Functional: GGA-PBE
Structure: optimized geometry

## Properties
Formation energy (no corrections) (meV per atom): -581.8

Structure (CIF):
```
data_LiTh2Mn2N6
_chemical_formula_sum 'Li3 Th6 Mn6 N18'
_cell_length_a 5.3614
_cell_length_b 5.3614
_cell_length_c 17.5986
_cell_angle_alpha 90.00
_cell_angle_beta 90.00
_cell_angle_gamma 120.00
_symmetry_space_group_name_H-M 'R -3 m'
_symmetry_Int_Tables_number 166
_symmetry_space_group_name_Hall '-R 3 2"'
loop_
_atom_site_label
_atom_site_type_symbol
_atom_site_fract_x
_atom_site_fract_y
_atom_site_fract_z
_atom_site_occupancy
Li1 Li 0.0000 0.0000 0.0000 1
Th1 Th 0.0000 0.0000 0.2158 1
Mn1 Mn 0.0000 0.0000 0.3991 1
N1 N 0.0063 0.5032 0.7649 1
```

Entry 2:
Compound: Li2ThMnN4
Source: Alexandria
Functional: GGA-PBE
Structure: optimized geometry

## Properties
Formation energy (no corrections) (meV per atom): -715.0

Structure (CIF):
```
data_Li2ThMnN4
_chemical_formula_sum 'Li4 Th2 Mn2 N8'
_cell_length_a 5.375
_cell_length_b 5.375
_cell_length_c 6.376
_cell_angle_alpha 90.00
_cell_angle_beta 90.00
_cell_angle_gamma 90.00
_symmetry_space_group_name_H-M 'I -4 2 m'
_symmetry_Int_Tables_number 121
_symmetry_space_group_name_Hall 'I -4 2'
loop_
_atom_site_label
_atom_site_type_symbol
_atom_site_fract_x
_atom_site_fract_y
_atom_site_fract_z
_atom_site_occupancy
Li1 Li 0.000 0.500 0.250 1
Th1 Th 0.000 0.000 0.000 1
Mn1 Mn 0.000 0.000 0.500 1
N1 N 0.186 0.186 0.660 1
```

Entry 3:
Compound: LiMnTlN2
Source: Alexandria
Functional: GGA-PBE
Structure: optimized geometry

## Properties
Formation energy (no corrections) (meV per atom): 1815.7

Structure (CIF):
```
data_LiMnTlN2
_chemical_formula_sum 'Li1 Mn1 Tl1 N2'
_cell_length_a 3.839
_cell_length_b 3.839
_cell_length_c 4.140
_cell_angle_alpha 90.00
_cell_angle_beta 90.00
_cell_angle_gamma 90.00
_symmetry_space_group_name_H-M 'P 4/m m m'
_symmetry_Int_Tables_number 123
_symmetry_space_group_name_Hall '-P 4 2'
loop_
_atom_site_label
_atom_site_type_symbol
_atom_site_fract_x
_atom_site_fract_y
_atom_site_fract_z
_atom_site_occupancy
Li1 Li 0.000 0.000 0.000 1
Mn1 Mn 0.000 0.000 0.500 1
Tl1 Tl 0.500 0.500 0.500 1
N1 N 0.000 0.500 0.000 1
```

Entry 4:
Compound: Li3U2MnN6
Source: Alexandria
Functional: GGA-PBE
Structure: optimized geometry

## Properties
Formation energy (no corrections) (meV per atom): -875.7

Structure (CIF):
```
data_Li3U2MnN6
_chemical_formula_sum 'Li6 U4 Mn2 N12'
_cell_length_a 13.313
_cell_length_b 3.303
_cell_length_c 5.835
_cell_angle_alpha 90.00
_cell_angle_beta 94.33
_cell_angle_gamma 90.00
_symmetry_space_group_name_H-M 'C 1 2/m 1'
_symmetry_Int_Tables_number 12
loop_
_symmetry_equiv_pos_as_xyz
'x,y,z'
'-x,-y,-z'
'-x,y,-z'
'x,-y,z'
'x+1/2,y+1/2,z'
'-x+1/2,-y+1/2,-z'
'-x+1/2,y+1/2,-z'
'x+1/2,-y+1/2,z'
loop_
_atom_site_label
_atom_site_type_symbol
_atom_site_fract_x
_atom_site_fract_y
_atom_site_fract_z
_atom_site_occupancy
Li1 Li 0.000 0.000 0.000 1
Li2 Li 0.123 0.500 0.248 1
U1 U 0.180 0.500 0.756 1
Mn1 Mn 0.000 0.000 0.500 1
N1 N 0.020 0.500 0.723 1
N2 N 0.155 0.000 0.502 1
N3 N 0.169 0.000 0.006 1
```

Entry 5:
Compound: Li3U3MnN8
Source: Alexandria
Functional: GGA-PBE
Structure: optimized geometry

## Properties
Formation energy (no corrections) (meV per atom): -849.1

Structure (CIF):
```
data_Li3U3MnN8
_chemical_formula_sum 'Li9 U9 Mn3 N24'
_cell_length_a 6.7060
_cell_length_b 6.7060
_cell_length_c 14.8875
_cell_angle_alpha 90.00
_cell_angle_beta 90.00
_cell_angle_gamma 120.00
_symmetry_space_group_name_H-M 'R -3 m'
_symmetry_Int_Tables_number 166
_symmetry_space_group_name_Hall '-R 3 2"'
loop_
_atom_site_label
_atom_site_type_symbol
_atom_site_fract_x
_atom_site_fract_y
_atom_site_fract_z
_atom_site_occupancy
Li1 Li 0.0000 0.5000 0.0000 1
U1 U 0.0000 0.5000 0.5000 1
Mn1 Mn 0.0000 0.0000 0.5000 1
N1 N 0.0000 0.0000 0.2391 1
N2 N 0.0090 0.5045 0.2328 1
```

Entry 6:
Compound: LiUMnN3
Source: Alexandria
Functional: GGA-PBE
Structure: optimized geometry

## Properties
Formation energy (no corrections) (meV per atom): -783.6

Structure (CIF):
```
data_LiUMnN3
_chemical_formula_sum 'Li2 U2 Mn2 N6'
_cell_length_a 6.239
_cell_length_b 3.372
_cell_length_c 8.020
_cell_angle_alpha 90.00
_cell_angle_beta 95.81
_cell_angle_gamma 90.00
_symmetry_space_group_name_H-M 'P 1 21/m 1'
_symmetry_Int_Tables_number 11
loop_
_symmetry_equiv_pos_as_xyz
'x,y,z'
'-x,-y,-z'
'-x,y+1/2,-z'
'x,-y+1/2,z'
loop_
_atom_site_label
_atom_site_type_symbol
_atom_site_fract_x
_atom_site_fract_y
_atom_site_fract_z
_atom_site_occupancy
Li1 Li 0.137 0.250 0.111 1
U1 U 0.353 0.750 0.832 1
Mn1 Mn 0.041 0.250 0.609 1
N1 N 0.122 0.250 0.847 1
N2 N 0.170 0.750 0.575 1
N3 N 0.416 0.750 0.114 1
```

Entry 7:
Compound: Li4MnW3N8
Source: Alexandria
Functional: GGA-PBE
Structure: optimized geometry

## Properties
Formation energy (no corrections) (meV per atom): -501.5

Structure (CIF):
```
data_Li4MnW3N8
_chemical_formula_sum 'Li12 Mn3 W9 N24'
_cell_length_a 5.9239
_cell_length_b 5.9239
_cell_length_c 15.3799
_cell_angle_alpha 90.00
_cell_angle_beta 90.00
_cell_angle_gamma 120.00
_symmetry_space_group_name_H-M 'R -3 m'
_symmetry_Int_Tables_number 166
_symmetry_space_group_name_Hall '-R 3 2"'
loop_
_atom_site_label
_atom_site_type_symbol
_atom_site_fract_x
_atom_site_fract_y
_atom_site_fract_z
_atom_site_occupancy
Li1 Li 0.0000 0.0000 0.0000 1
Li2 Li 0.0000 0.5000 0.0000 1
Mn1 Mn 0.0000 0.0000 0.5000 1
W1 W 0.0000 0.5000 0.5000 1
N1 N 0.0000 0.0000 0.2435 1
N2 N 0.0003 0.5002 0.2408 1
```

Entry 8:
Compound: Li3Mn2WN6
Source: Alexandria
Functional: GGA-PBE
Structure: optimized geometry

## Properties
Formation energy (no corrections) (meV per atom): -401.9

Structure (CIF):
```
data_Li3Mn2WN6
_chemical_formula_sum 'Li6 Mn4 W2 N12'
_cell_length_a 5.033
_cell_length_b 8.725
_cell_length_c 5.333
_cell_angle_alpha 90.00
_cell_angle_beta 108.20
_cell_angle_gamma 90.00
_symmetry_space_group_name_H-M 'C 1 2/m 1'
_symmetry_Int_Tables_number 12
loop_
_symmetry_equiv_pos_as_xyz
'x,y,z'
'-x,-y,-z'
'-x,y,-z'
'x,-y,z'
'x+1/2,y+1/2,z'
'-x+1/2,-y+1/2,-z'
'-x+1/2,y+1/2,-z'
'x+1/2,-y+1/2,z'
loop_
_atom_site_label
_atom_site_type_symbol
_atom_site_fract_x
_atom_site_fract_y
_atom_site_fract_z
_atom_site_occupancy
Li1 Li 0.000 0.000 0.000 1
Li2 Li 0.000 0.328 0.000 1
Mn1 Mn 0.000 0.166 0.500 1
W1 W 0.000 0.500 0.500 1
N1 N 0.233 0.000 0.718 1
N2 N 0.242 0.330 0.717 1
```

Entry 9:
Compound: LiMn2ZnN
Source: Alexandria
Functional: GGA-PBE
Structure: optimized geometry

## Properties
Formation energy (no corrections) (meV per atom): -277.4

Structure (CIF):
```
data_LiMn2ZnN
_chemical_formula_sum 'Li1 Mn2 Zn1 N1'
_cell_length_a 3.751
_cell_length_b 3.751
_cell_length_c 3.977
_cell_angle_alpha 90.00
_cell_angle_beta 90.00
_cell_angle_gamma 90.00
_symmetry_space_group_name_H-M 'P 4/m m m'
_symmetry_Int_Tables_number 123
_symmetry_space_group_name_Hall '-P 4 2'
loop_
_atom_site_label
_atom_site_type_symbol
_atom_site_fract_x
_atom_site_fract_y
_atom_site_fract_z
_atom_site_occupancy
Li1 Li 0.000 0.000 0.000 1
Mn1 Mn 0.000 0.500 0.500 1
Zn1 Zn 0.500 0.500 0.000 1
N1 N 0.000 0.000 0.500 1
```

Entry 10:
Compound: NaLi2Mn
Source: Alexandria
Functional: GGA-PBE
Structure: optimized geometry

## Properties
ΔE_f (kJ/mol of formula units): 204
Polymorph energy (0 for the lowest one) (eV/atom): 0.1021

Structure (CIF):
```
data_NaLi2Mn
_chemical_formula_sum 'Na4 Li8 Mn4'
_cell_length_a 7.547
_cell_length_b 7.547
_cell_length_c 6.040
_cell_angle_alpha 90.00
_cell_angle_beta 90.00
_cell_angle_gamma 90.00
_symmetry_space_group_name_H-M 'I -4 2 d'
_symmetry_Int_Tables_number 122
_symmetry_space_group_name_Hall 'I -4 2bw'
loop_
_atom_site_label
_atom_site_type_symbol
_atom_site_fract_x
_atom_site_fract_y
_atom_site_fract_z
_atom_site_occupancy
Na1 Na 0.000 0.000 0.000 1
Li1 Li 0.237 0.250 0.625 1
Mn1 Mn 0.000 0.000 0.500 1
```

Entry 11:
Compound: NaLiMn2
Source: Alexandria
Functional: GGA-PBE
Structure: optimized geometry

## Properties
ΔE_f (kJ/mol of formula units): 308
Polymorph energy (0 for the lowest one) (eV/atom): 0.0000

Structure (CIF):
```
data_NaLiMn2
_chemical_formula_sum 'Na4 Li4 Mn8'
_cell_length_a 6.750
_cell_length_b 6.750
_cell_length_c 6.750
_cell_angle_alpha 90.00
_cell_angle_beta 90.00
_cell_angle_gamma 90.00
_symmetry_space_group_name_H-M 'F m -3 m'
_symmetry_Int_Tables_number 225
_symmetry_space_group_name_Hall '-F 4 2 3'
loop_
_atom_site_label
_atom_site_type_symbol
_atom_site_fract_x
_atom_site_fract_y
_atom_site_fract_z
_atom_site_occupancy
Na1 Na 0.000 0.000 0.000 1
Li1 Li 0.000 0.000 0.500 1
Mn1 Mn 0.250 0.250 0.250 1
```

Entry 12:
Compound: NaLiMn2
Source: Alexandria
Functional: GGA-PBE
Structure: optimized geometry

## Properties
ΔE_f (kJ/mol of formula units): 347
Polymorph energy (0 for the lowest one) (eV/atom): 0.1013

Structure (CIF):
```
data_NaLiMn2
_chemical_formula_sum 'Na4 Li4 Mn8'
_cell_length_a 3.324
_cell_length_b 3.324
_cell_length_c 20.213
_cell_angle_alpha 90.00
_cell_angle_beta 90.00
_cell_angle_gamma 90.00
_symmetry_space_group_name_H-M 'I -4 2 d'
_symmetry_Int_Tables_number 122
_symmetry_space_group_name_Hall 'I -4 2bw'
loop_
_atom_site_label
_atom_site_type_symbol
_atom_site_fract_x
_atom_site_fract_y
_atom_site_fract_z
_atom_site_occupancy
Na1 Na 0.000 0.000 0.000 1
Li1 Li 0.000 0.000 0.500 1
Mn1 Mn 0.217 0.750 0.625 1
```

Entry 13:
Compound: NaLi2Mn
Source: Alexandria
Functional: GGA-PBE
Structure: optimized geometry

## Properties
ΔE_f (kJ/mol of formula units): 164
Polymorph energy (0 for the lowest one) (eV/atom): 0.0000

Structure (CIF):
```
data_NaLi2Mn
_chemical_formula_sum 'Na4 Li8 Mn4'
_cell_length_a 6.954
_cell_length_b 6.954
_cell_length_c 6.954
_cell_angle_alpha 90.00
_cell_angle_beta 90.00
_cell_angle_gamma 90.00
_symmetry_space_group_name_H-M 'F m -3 m'
_symmetry_Int_Tables_number 225
_symmetry_space_group_name_Hall '-F 4 2 3'
loop_
_atom_site_label
_atom_site_type_symbol
_atom_site_fract_x
_atom_site_fract_y
_atom_site_fract_z
_atom_site_occupancy
Na1 Na 0.000 0.000 0.000 1
Li1 Li 0.250 0.250 0.250 1
Mn1 Mn 0.000 0.000 0.500 1
```

| no. | Fermi-level density of states (states/eV/f.u.) |
| --- | --- |
| 1 | 2.4 |
| 2 | 3.3 |
| 3 | 5.7 |
| 4 | 5.6 |
| 5 | 3.2 |
| 6 | 3.0 |
| 7 | 5.1 |
| 8 | 3.8 |
| 9 | 2.2 |
| 10 | 2.7 |
| 11 | 3.2 |
| 12 | 4.5 |
| 13 | 3.8 |